{"formula": "MgMn2TlMo", "functional": "GGA-PBE", "state": "relaxed", "space_group": "No. 123", "crystal_system": "tetragonal", "delta_e_f_kj_per_mol_atoms": 207, "lattice_angstrom": [[4.3878, 0.0000, 0.0000], [0.0000, 4.7520, 0.0000], [0.0000, 0.0000, 4.3878]], "species": ["Mg", "Tl", "Mn", "Mn", "Mo"], "fractional_positions": [[0.0000, 0.0000, 0.0000], [0.0000, 0.5000, 0.0000], [0.0000, 0.0000, 0.5000], [0.5000, 0.0000, 0.0000], [0.5000, 0.5000, 0.5000]]}